Material: SiNi2Ru
Method: DFT, GGA-PBE
State: relaxed

space-group type	No. 47
magnetization	0.00	μB per formula unit
total energy	-6.70	eV per atom

Structure (extended XYZ):
```
4
Lattice="2.6153 0.0000 0.0000 0.0000 3.5120 0.0000 0.0000 0.0000 5.1695" Properties=species:S:1:pos:R:3 pbc="T T T"
Si 0.0000 0.0000 0.0000
Ni 1.3077 1.7560 1.2130
Ni 1.3077 1.7560 3.9565
Ru 0.0000 0.0000 2.5847
```